i | A relaxed structure of LiLa3Ru. Source: Alexandria via LeMat-Bulk, functional PBE-GGA.

a b c (Å): 5.341 5.341 5.341
angles (deg): 84.75 84.75 84.75
Atoms (fractional coordinates):
Li 0.000 0.000 0.000
La 0.081 0.574 0.574
La 0.574 0.081 0.574
La 0.574 0.574 0.081
Ru 0.252 0.252 0.252


ii | A relaxed structure of LiLa3Ru. Source: Alexandria via LeMat-Bulk, functional PBE-GGA.

a b c (Å): 10.510 10.510 10.510
angles (deg): 60.00 60.00 60.00
Atoms (fractional coordinates):
Li 0.000 0.000 0.000
Li 0.000 0.000 0.500
Li 0.000 0.500 0.000
Li 0.500 0.000 0.000
La 0.182 0.182 0.568
La 0.182 0.568 0.182
La 0.182 0.568 0.568
La 0.432 0.432 0.818
La 0.432 0.818 0.432
La 0.432 0.818 0.818
La 0.568 0.182 0.182
La 0.568 0.182 0.568
La 0.568 0.568 0.182
La 0.818 0.432 0.432
La 0.818 0.432 0.818
La 0.818 0.818 0.432
Ru 0.000 0.500 0.500
Ru 0.500 0.000 0.500
Ru 0.500 0.500 0.000
Ru 0.500 0.500 0.500


iii | A relaxed structure of LiLa3Ru. Source: Alexandria via LeMat-Bulk, functional PBE-GGA.

a b c (Å): 3.868 9.766 9.766
angles (deg): 45.60 90.00 90.00
Atoms (fractional coordinates):
Li 0.000 0.000 0.000
La 0.000 0.416 0.927
La 0.000 0.927 0.416
La 0.500 0.834 0.834
Ru 0.500 0.695 0.695


iv | A relaxed structure of LiLa3Ru. Source: Alexandria via LeMat-Bulk, functional PBE-GGA.

a b c (Å): 4.809 4.809 17.560
angles (deg): 90.00 90.00 120.00
Atoms (fractional coordinates):
Li 0.000 0.000 0.000
Li 0.000 0.000 0.500
La 0.000 0.000 0.250
La 0.000 0.000 0.750
La 0.333 0.667 0.096
La 0.333 0.667 0.404
La 0.667 0.333 0.596
La 0.667 0.333 0.904
Ru 0.333 0.667 0.250
Ru 0.667 0.333 0.750


How far above the most stable structure does each one sit? In meV per atom: i 0; ii 67; iii 396; iv 197.